A geometry-optimized NbCoRh structure. Source: the Alexandria database, functional GGA-PBE.

Cell lengths 4.7757, 6.0336, 5.9451 Å; angles 90.00, 90.00, 90.00 degrees
With the nearest neighbours (Å) after each atom.
Space group Ima2 (No. 46)
Inequivalent atoms, fractional coordinates:
Nb 0.2500 0.1579 0.0000 (multiplicity 4)  4 Co 2.55-2.56, 1 Rh 2.58
Co 0.0000 0.0000 0.3460 (multiplicity 4)  2 Co 2.39, 4 Nb 2.55-2.56, 4 Rh 2.57-2.59
Rh 0.2500 0.6512 0.2007 (multiplicity 4)  4 Co 2.57-2.59, 1 Nb 2.58

- Calculated formation energy: -0.9 eV/f.u.
- Final energy: -8.467 eV per atom
- Total magnetization: 0.005 μB per formula unit

=====

A geometry-optimized NbCo2Rh2 structure. Source: the Alexandria database, functional GGA-PBE.

Cell lengths 7.1252, 7.1252, 2.7530 Å; angles 90.00, 90.00, 90.00 degrees
With the nearest neighbours (Å) after each atom.
Space group P4/mbm (No. 127)
Inequivalent atoms, fractional coordinates:
Nb 0.0000 0.0000 0.0000 (multiplicity 2)  2 Nb 2.75, 4 Rh 2.79, 8 Co 2.99
Co 0.1673 0.3327 0.5000 (multiplicity 4)  6 Rh 2.46-2.54, 2 Co 2.75
Rh 0.1305 0.6305 0.0000 (multiplicity 4)  6 Co 2.46-2.54, 3 Rh 2.63-2.75

- Calculated formation energy: 0.1 eV/f.u.
- Distance to the lowest polymorph of the same formula: 0.064 eV/atom
- Final energy: -7.779 eV per atom
- Total magnetization: 3.518 μB per formula unit

=====

A geometry-optimized NbCoRh structure. Source: the Alexandria database, functional GGA-PBE.

Cell lengths 4.7471, 8.3154, 4.7018 Å; angles 90.00, 111.32, 90.00 degrees
With the nearest neighbours (Å) after each atom.
Space group C2 (No. 5)
Inequivalent atoms, fractional coordinates:
Nb 0.0000 0.0000 0.0000 (multiplicity 2)  4 Rh 2.63-2.68, 6 Co 2.67-2.93
Nb 0.0000 0.2155 0.5000 (multiplicity 2)  4 Co 2.61-2.69, 5 Rh 2.65-2.81
Co 0.0000 0.3523 0.0000 (multiplicity 2)  4 Nb 2.61-2.67, 4 Rh 2.67-2.80, 3 Co 2.68-2.80
Co 0.0000 0.6746 0.0000 (multiplicity 2)  4 Rh 2.62-2.80, 3 Co 2.68-2.80, 5 Nb 2.69-2.78
Rh 0.0000 0.5350 0.5000 (multiplicity 2)  4 Co 2.62-2.80, 5 Nb 2.66-2.81, 3 Rh 2.69-2.79
Rh 0.0000 0.8584 0.5000 (multiplicity 2)  4 Nb 2.63-2.65, 4 Co 2.67-2.80, 3 Rh 2.69-2.79

- Calculated formation energy: -0.6 eV/f.u.
- Final energy: -8.375 eV per atom
- Total magnetization: 0.745 μB per formula unit

=====

A geometry-optimized Nb2CoRh2 structure. Source: the Alexandria database, functional GGA-PBE.

Cell lengths 5.5655, 11.3951, 4.8675 Å; angles 90.00, 90.00, 90.00 degrees
With the nearest neighbours (Å) after each atom.
Space group Ibam (No. 72)
Inequivalent atoms, fractional coordinates:
Nb 0.1842 0.1717 0.0000 (multiplicity 8)  2 Co 2.52, 4 Rh 2.62-2.74
Co 0.0000 0.0000 0.2500 (multiplicity 4)  2 Co 2.43, 4 Nb 2.52, 4 Rh 2.54
Rh 0.1531 0.4013 0.0000 (multiplicity 8)  2 Co 2.54, 4 Nb 2.62-2.74, 1 Rh 2.82

- Calculated formation energy: -1.3 eV/f.u.
- Distance to the lowest polymorph of the same formula: 0.000 eV/atom
- Final energy: -8.641 eV per atom
- Total magnetization: 0.000 μB per formula unit

=====

A geometry-optimized NbCoRh structure. Source: the Alexandria database, functional GGA-PBE.

Cell lengths 4.6522, 4.7348, 5.1438 Å; angles 114.05, 93.53, 118.15 degrees
With the nearest neighbours (Å) after each atom.
Space group P-1 (No. 2)
Inequivalent atoms, fractional coordinates:
Nb 0.1218 0.3698 0.2464 (multiplicity 2)  5 Co 2.64-2.85, 5 Rh 2.67-2.85, 2 Nb 2.94-2.95
Co 0.2239 0.2964 0.7290 (multiplicity 2)  1 Co 2.50, 4 Nb 2.64-2.71, 3 Rh 2.67-2.77
Rh 0.4272 0.0104 0.2453 (multiplicity 2)  2 Rh 2.63-2.72, 5 Nb 2.67-2.85, 4 Co 2.67-2.83

- Calculated formation energy: -0.6 eV/f.u.
- Final energy: -8.365 eV per atom
- Total magnetization: 0.847 μB per formula unit

=====

A geometry-optimized Nb2CoRh structure. Source: the Alexandria database, functional GGA-PBE.

Cell lengths 3.1376, 3.1376, 22.6288 Å; angles 90.00, 90.00, 120.00 degrees
With the nearest neighbours (Å) after each atom.
Space group R-3m (No. 166, hexagonal axes)
Inequivalent atoms, fractional coordinates:
Nb 0.0000 0.0000 0.2421 (multiplicity 6)  3 Co 2.49, 3 Rh 2.75
Co 0.0000 0.0000 0.5000 (multiplicity 3)  6 Nb 2.49
Rh 0.0000 0.0000 0.0000 (multiplicity 3)  6 Nb 2.75

- Calculated formation energy: 0.4 eV/f.u.
- Distance to the lowest polymorph of the same formula: 0.341 eV/atom
- Final energy: -8.545 eV per atom
- Total magnetization: 0.000 μB per formula unit

=====

A geometry-optimized NbCoRh structure. Source: the Alexandria database, functional GGA-PBE.

Cell lengths 4.2867, 4.2867, 2.7587 Å; angles 90.00, 90.00, 120.00 degrees
With the nearest neighbours (Å) after each atom.
Space group P-6m2 (No. 187)
Inequivalent atoms, fractional coordinates:
Nb 0.0000 0.0000 0.0000 (multiplicity 1)  2 Nb 2.76, 6 Rh 2.83, 6 Co 2.83
Co 0.6667 0.3333 0.5000 (multiplicity 1)  3 Rh 2.47, 2 Co 2.76
Rh 0.3333 0.6667 0.5000 (multiplicity 1)  3 Co 2.47, 2 Rh 2.76

- Calculated formation energy: -0.3 eV/f.u.
- Final energy: -8.264 eV per atom
- Total magnetization: 1.668 μB per formula unit

=====

A geometry-optimized NbCoRh structure. Source: the Alexandria database, functional GGA-PBE.

Cell lengths 4.8044, 9.2025, 4.5777 Å; angles 90.00, 120.99, 90.00 degrees
With the nearest neighbours (Å) after each atom.
Space group Cc (No. 9)
Inequivalent atoms, fractional coordinates:
Nb 0.0000 0.1268 0.0000 (multiplicity 4)  3 Co 2.45-2.65, 3 Rh 2.57-2.71
Co 0.1960 0.3415 0.8422 (multiplicity 4)  3 Nb 2.45-2.65, 3 Rh 2.62-2.71
Rh 0.3719 0.0979 0.6863 (multiplicity 4)  5 Nb 2.57-2.84, 5 Co 2.62-2.84

- Calculated formation energy: -0.7 eV/f.u.
- Final energy: -8.397 eV per atom
- Total magnetization: 0.456 μB per formula unit

=====

Please write out number 3 again, unchanged.
A geometry-optimized NbCoRh structure. Source: the Alexandria database, functional GGA-PBE.

Cell lengths 4.7471, 8.3154, 4.7018 Å; angles 90.00, 111.32, 90.00 degrees
With the nearest neighbours (Å) after each atom.
Space group C2 (No. 5)
Inequivalent atoms, fractional coordinates:
Nb 0.0000 0.0000 0.0000 (multiplicity 2)  4 Rh 2.63-2.68, 6 Co 2.67-2.93
Nb 0.0000 0.2155 0.5000 (multiplicity 2)  4 Co 2.61-2.69, 5 Rh 2.65-2.81
Co 0.0000 0.3523 0.0000 (multiplicity 2)  4 Nb 2.61-2.67, 4 Rh 2.67-2.80, 3 Co 2.68-2.80
Co 0.0000 0.6746 0.0000 (multiplicity 2)  4 Rh 2.62-2.80, 3 Co 2.68-2.80, 5 Nb 2.69-2.78
Rh 0.0000 0.5350 0.5000 (multiplicity 2)  4 Co 2.62-2.80, 5 Nb 2.66-2.81, 3 Rh 2.69-2.79
Rh 0.0000 0.8584 0.5000 (multiplicity 2)  4 Nb 2.63-2.65, 4 Co 2.67-2.80, 3 Rh 2.69-2.79

- Calculated formation energy: -0.6 eV/f.u.
- Final energy: -8.375 eV per atom
- Total magnetization: 0.745 μB per formula unit

=====

Repeat the fourth record exactly.
A geometry-optimized Nb2CoRh2 structure. Source: the Alexandria database, functional GGA-PBE.

Cell lengths 5.5655, 11.3951, 4.8675 Å; angles 90.00, 90.00, 90.00 degrees
With the nearest neighbours (Å) after each atom.
Space group Ibam (No. 72)
Inequivalent atoms, fractional coordinates:
Nb 0.1842 0.1717 0.0000 (multiplicity 8)  2 Co 2.52, 4 Rh 2.62-2.74
Co 0.0000 0.0000 0.2500 (multiplicity 4)  2 Co 2.43, 4 Nb 2.52, 4 Rh 2.54
Rh 0.1531 0.4013 0.0000 (multiplicity 8)  2 Co 2.54, 4 Nb 2.62-2.74, 1 Rh 2.82

- Calculated formation energy: -1.3 eV/f.u.
- Distance to the lowest polymorph of the same formula: 0.000 eV/atom
- Final energy: -8.641 eV per atom
- Total magnetization: 0.000 μB per formula unit

=====

Q: Which of these has the highest calculated formation energy?
A: Nb2CoRh